# 1
NdTm7Th2, optimized geometry, DFT PBE; formation energy from the elements = 0.43 eV per atom; spin magnetization = 0.00 μB/f.u.; volume = 344.8 Å³ per cell; symmetry = No. 12
1.0
-3.017 -2.790 -3.662
8.010 -2.411 -0.607
0.010 -4.130 7.297
Nd Tm Th
1 7 2
Direct
0.000 0.000 0.000 Nd
0.000 0.665 0.335 Tm
0.744 0.899 0.595 Tm
0.256 0.405 0.101 Tm
0.744 0.595 0.899 Tm
0.500 0.500 0.500 Tm
0.000 0.335 0.665 Tm
0.256 0.101 0.405 Tm
0.500 0.156 0.844 Th
0.500 0.844 0.156 Th


# 2
Nd3Tm6Th, optimized geometry, DFT PBE; formation energy from the elements = 0.03 eV per atom; spin magnetization = 0.00 μB/f.u.; volume = 318.5 Å³ per cell; relative energy among the computed polymorphs = 0.00 eV per formula unit; symmetry = No. 2
1.0
-2.502 2.243 -5.170
10.889 -6.009 -2.981
-6.861 -1.846 6.208
Tm Nd Th
6 3 1
Direct
0.697 0.499 0.395 Tm
0.102 0.500 0.196 Tm
0.200 0.001 0.404 Tm
0.898 0.500 0.804 Tm
0.303 0.501 0.605 Tm
0.800 0.999 0.596 Tm
0.000 0.000 0.000 Nd
0.608 0.004 0.208 Nd
0.392 0.996 0.792 Nd
0.500 0.500 0.000 Th


# 3
Nd3Tm12Th, optimized geometry, DFT PBE; formation energy from the elements = 0.03 eV per atom; spin magnetization = 0.00 μB/f.u.; volume = 498.3 Å³ per cell; symmetry = No. 123
1.0
-4.639 1.366 -1.243
0.894 -1.281 -4.743
-6.470 -18.527 3.786
Tm Th Nd
12 1 3
Direct
0.500 0.500 0.500 Tm
0.500 0.000 0.123 Tm
0.500 0.000 0.374 Tm
0.000 0.500 0.877 Tm
0.500 0.000 0.877 Tm
0.500 0.500 0.250 Tm
0.000 0.500 0.626 Tm
0.000 0.500 0.374 Tm
0.500 0.500 0.750 Tm
0.000 0.500 0.123 Tm
0.500 0.500 0.000 Tm
0.500 0.000 0.626 Tm
0.000 0.000 0.000 Th
0.000 0.000 0.751 Nd
0.000 0.000 0.249 Nd
0.000 0.000 0.500 Nd